The following is a PBEsol calculation of ZnRe2TeBr after structural relaxation, from Alexandria via LeMat-Bulk.

a = 4.6035 Å, b = 4.6035 Å, c = 4.7577 Å
α = 90.00°, β = 90.00°, γ = 90.00°
Atoms (fractional coordinates):
Zn: 0.0000 0.0000 0.0000
Re: 0.0000 0.5000 0.5000
Re: 0.5000 0.0000 0.5000
Te: 0.5000 0.5000 0.0000
Br: 0.0000 0.0000 0.5000

Results
- M_tot (μB per cell) = 0.00
- formation energy (no corrections) (eV/atom) = 2.03
- raw total energy (eV/atom) = -4.70
- space-group type = P4/mmm (123)